Entry from Alexandria: a geometry-optimized Nd2EuTm structure (PBE-GGA).

Cell: 3.673 3.673 10.390 Å, 90.00 90.00 90.00°
Each line ends with the local moment (μB).
Fractional coordinates of all 4 atoms:
Tm: 0.500 0.500 0.000  0.16
Eu: 0.500 0.500 0.500  -6.94
Nd: 0.000 0.000 0.234  0.00
Nd: 0.000 0.000 0.766  0.00

Magnetic moment   1.79 μB/atom
E above lowest polymorph   0.0 meV per atom
Symmetry   P4/mmm
Energy of formation   0.04 eV per atom